# 1
Density functional theory data (PBE) for ErCd2Pt5 after structural relaxation.

Summary:
DFT total energy in eV per cell: -41.8
Magnetic moment in Bohr magnetons per cell: 0.00
Formation enthalpy at 0 K in eV per atom: -0.65

a b c (Å): 8.5985 8.5985 8.5985
angles (deg): 151.98 151.98 40.04
Last column: nearest neighbours and their distance in Å.
Fractional positions:
Er  0.0000  0.0000  0.0000  12 Pt 2.91-2.94
Cd  0.2515  0.2515  0.0000  8 Pt 2.88-2.91, 4 Cd 2.94
Cd  0.7485  0.7485  0.0000  8 Pt 2.88-2.91, 4 Cd 2.94
Pt  0.1256  0.6256  0.5000  4 Cd 2.88-2.91, 2 Er 2.91, 6 Pt 2.91-2.94
Pt  0.3744  0.8744  0.5000  4 Cd 2.88-2.91, 2 Er 2.91, 6 Pt 2.91-2.94
Pt  0.5000  0.5000  0.0000  8 Pt 2.91, 4 Er 2.94
Pt  0.6256  0.1256  0.5000  4 Cd 2.88-2.91, 2 Er 2.91, 6 Pt 2.91-2.94
Pt  0.8744  0.3744  0.5000  4 Cd 2.88-2.91, 2 Er 2.91, 6 Pt 2.91-2.94

---

# 2
Density functional theory data (PBE) for NaPu2Pb9 after structural relaxation.

Summary:
DFT total energy in eV per cell: -64.9
Magnetic moment in Bohr magnetons per cell: 11.56
Formation enthalpy at 0 K in eV per atom: -0.13

a b c (Å): 4.8585 4.8585 14.8368
angles (deg): 90.00 90.00 90.00
Last column: nearest neighbours and their distance in Å.
Fractional positions:
Na  0.0000  0.0000  0.0000  12 Pb 3.44-3.47
Pu  0.0000  0.0000  0.3415  12 Pb 3.38-3.55
Pu  0.0000  0.0000  0.6585  12 Pb 3.38-3.55
Pb  0.0000  0.5000  0.1671  8 Pb 3.44-3.47, 2 Na 3.47, 2 Pu 3.55
Pb  0.0000  0.5000  0.5000  4 Pu 3.38, 8 Pb 3.44-3.48
Pb  0.0000  0.5000  0.8329  8 Pb 3.44-3.47, 2 Na 3.47, 2 Pu 3.55
Pb  0.5000  0.0000  0.1671  8 Pb 3.44-3.47, 2 Na 3.47, 2 Pu 3.55
Pb  0.5000  0.0000  0.5000  4 Pu 3.38, 8 Pb 3.44-3.48
Pb  0.5000  0.0000  0.8329  8 Pb 3.44-3.47, 2 Na 3.47, 2 Pu 3.55
Pb  0.5000  0.5000  0.0000  4 Na 3.44, 8 Pb 3.47
Pb  0.5000  0.5000  0.3322  4 Pu 3.44, 8 Pb 3.45-3.48
Pb  0.5000  0.5000  0.6678  4 Pu 3.44, 8 Pb 3.45-3.48

---

# 3
Density functional theory data (PBE) for AlZn2 after structural relaxation.

Summary:
DFT total energy in eV per cell: -11.7
Magnetic moment in Bohr magnetons per cell: 0.00
Formation enthalpy at 0 K in eV per atom: 0.15

a b c (Å): 5.1618 5.1618 5.1618
angles (deg): 104.40 104.40 120.16
Last column: nearest neighbours and their distance in Å.
Fractional positions:
Al  0.2500  0.2500  0.0000  2 Al 2.57, 8 Zn 2.74
Al  0.7500  0.7500  0.0000  2 Al 2.57, 8 Zn 2.74
Zn  0.1467  0.6467  0.7935  1 Zn 2.63, 4 Al 2.74
Zn  0.3533  0.1467  0.5000  1 Zn 2.63, 4 Al 2.74
Zn  0.6467  0.8533  0.5000  1 Zn 2.63, 4 Al 2.74
Zn  0.8533  0.3533  0.2065  1 Zn 2.63, 4 Al 2.74

---

# 4
Density functional theory data (PBE) for NaMnHPd2 after structural relaxation.

Summary:
DFT total energy in eV per cell: -24.3
Magnetic moment in Bohr magnetons per cell: 4.61

a b c (Å): 4.1418 4.1418 3.9297
angles (deg): 90.00 90.00 90.00
Last column: nearest neighbours and their distance in Å.
Fractional positions:
Na  0.0000  0.0000  0.0000  8 Pd 2.85, 4 Mn 2.93
Mn  0.5000  0.5000  0.0000  2 H 1.96
H  0.5000  0.5000  0.5000  2 Mn 1.96, 4 Pd 2.07
Pd  0.0000  0.5000  0.5000  2 H 2.07
Pd  0.5000  0.0000  0.5000  2 H 2.07

---

# 5
Density functional theory data (PBE) for ZnTcPb2 after structural relaxation.

Summary:
DFT total energy in eV per cell: -16.6
Magnetic moment in Bohr magnetons per cell: 1.10
Formation enthalpy at 0 K in eV per atom: 0.61

a b c (Å): 5.3069 5.3069 5.3069
angles (deg): 134.75 124.84 74.02
Last column: nearest neighbours and their distance in Å.
Fractional positions:
Zn  0.0000  0.0000  0.0000  8 Pb 2.95-3.24, 4 Tc 3.19
Tc  0.5000  0.5000  0.0000  8 Pb 2.94-3.25, 4 Zn 3.19
Pb  0.2507  0.7507  0.5000  4 Tc 2.94-3.25, 4 Zn 2.95-3.24, 4 Pb 3.19
Pb  0.7493  0.2493  0.5000  4 Tc 2.94-3.25, 4 Zn 2.95-3.24, 4 Pb 3.19

---

# 6
Density functional theory data (PBE) for KCa2La after structural relaxation.

Summary:
DFT total energy in eV per cell: -9.3
Magnetic moment in Bohr magnetons per cell: 0.05
Formation enthalpy at 0 K in eV per atom: 0.19

a b c (Å): 3.7981 3.7981 12.5716
angles (deg): 90.00 90.00 90.00
Last column: nearest neighbours and their distance in Å.
Fractional positions:
K  0.0000  0.0000  0.0000  4 K 3.80
Ca  0.0000  0.0000  0.4955  8 Ca 3.80-3.90, 4 La 3.86
Ca  0.5000  0.5000  0.7209  8 Ca 3.80-3.90
La  0.5000  0.5000  0.2755  4 La 3.80, 4 Ca 3.86

---

# 7
Density functional theory data (PBE) for Li4Np3GaN8 after structural relaxation.

Summary:
DFT total energy in eV per cell: -127.2
Raw formation energy in eV per atom: -0.69
Magnetic moment in Bohr magnetons per cell: 4.00

a b c (Å): 6.5091 6.5091 6.2149
angles (deg): 115.14 115.14 59.01
Last column: nearest neighbours and their distance in Å.
Fractional positions:
Li  0.0000  0.0000  0.0000  6 N 2.34-2.36
Li  0.0000  0.5000  0.5000  4 N 2.30-2.35
Li  0.5000  0.0000  0.5000  4 N 2.30-2.35
Li  0.5000  0.5000  0.0000  4 N 2.32
Np  0.0000  0.0000  0.5000  6 N 2.18-2.26
Np  0.0000  0.5000  0.0000  6 N 2.13-2.25
Np  0.5000  0.0000  0.0000  6 N 2.13-2.25
Ga  0.5000  0.5000  0.5000  4 N 2.13
N  0.2270  0.2270  0.7434  3 Np 2.19-2.26, 2 Li 2.30
N  0.2302  0.7206  0.2504  1 Ga 2.13, 2 Np 2.18-2.25, 2 Li 2.32-2.36
N  0.2367  0.2367  0.2131  2 Np 2.13, 3 Li 2.34-2.35
N  0.2794  0.7698  0.7496  1 Ga 2.13, 2 Np 2.18-2.25, 2 Li 2.32-2.36
N  0.7206  0.2302  0.2504  1 Ga 2.13, 2 Np 2.18-2.25, 2 Li 2.32-2.36
N  0.7633  0.7633  0.7869  2 Np 2.13, 3 Li 2.34-2.35
N  0.7698  0.2794  0.7496  1 Ga 2.13, 2 Np 2.18-2.25, 2 Li 2.32-2.36
N  0.7730  0.7730  0.2566  3 Np 2.19-2.26, 2 Li 2.30

---

# 8
Density functional theory data (PBE) for PaPt after structural relaxation.

Summary:
DFT total energy in eV per cell: -32.8
Magnetic moment in Bohr magnetons per cell: 0.00
Formation enthalpy at 0 K in eV per atom: -0.43

a b c (Å): 5.6360 5.6360 5.6360
angles (deg): 49.10 49.10 49.10
Last column: nearest neighbours and their distance in Å.
Fractional positions:
Pa  0.2105  0.2105  0.2105  4 Pt 2.81-2.83, 3 Pa 3.00
Pa  0.7895  0.7895  0.7895  4 Pt 2.81-2.83, 3 Pa 3.00
Pt  0.4000  0.4000  0.4000  4 Pa 2.81-2.83, 1 Pt 2.97
Pt  0.6000  0.6000  0.6000  4 Pa 2.81-2.83, 1 Pt 2.97

---

# 9
Density functional theory data (PBE) for DyTlSn after structural relaxation.

Summary:
DFT total energy in eV per cell: -24.5
Magnetic moment in Bohr magnetons per cell: 0.00
Formation enthalpy at 0 K in eV per atom: -0.43

a b c (Å): 8.5170 8.5170 4.2743
angles (deg): 90.00 90.00 148.21
Last column: nearest neighbours and their distance in Å.
Fractional positions:
Dy  0.0894  0.9106  0.7500  6 Sn 3.18-3.47, 4 Tl 3.40-3.51
Dy  0.9106  0.0894  0.2500  6 Sn 3.18-3.47, 4 Tl 3.40-3.51
Tl  0.2592  0.7408  0.2500  4 Tl 3.18, 4 Dy 3.40-3.51, 2 Sn 3.55
Tl  0.7408  0.2592  0.7500  4 Tl 3.18, 4 Dy 3.40-3.51, 2 Sn 3.55
Sn  0.4326  0.5674  0.7500  2 Sn 3.07, 4 Dy 3.18
Sn  0.5674  0.4326  0.2500  2 Sn 3.07, 4 Dy 3.18

---

# 10
Density functional theory data (PBE) for Se2OF after structural relaxation.

Summary:
DFT total energy in eV per cell: -12.3
Raw formation energy in eV per atom: 0.37
Magnetic moment in Bohr magnetons per cell: 0.00

a b c (Å): 4.2296 4.2296 4.2296
angles (deg): 60.00 60.00 60.00
Last column: nearest neighbours and their distance in Å.
Fractional positions:
Se  0.2500  0.2500  0.2500  4 O 2.59, 4 F 2.59
Se  0.7500  0.7500  0.7500  4 O 2.59, 4 F 2.59
O  0.0000  0.0000  0.0000  8 Se 2.59
F  0.5000  0.5000  0.5000  8 Se 2.59

---

# 11
Density functional theory data (PBE) for Pr6RuPt2I3 after structural relaxation.

Summary:
DFT total energy in eV per cell: -66.5
Raw formation energy in eV per atom: -0.99
Magnetic moment in Bohr magnetons per cell: 0.00

a b c (Å): 7.3858 7.3858 8.5429
angles (deg): 98.28 98.28 120.00
Last column: nearest neighbours and their distance in Å.
Fractional positions:
Pr  0.0623  0.3842  0.1867  1 Ru 2.83, 2 Pt 2.93
Pr  0.2595  0.2595  0.8128  1 Ru 2.83, 2 Pt 2.94
Pr  0.3842  0.0623  0.1867  1 Ru 2.83, 2 Pt 2.93
Pr  0.6158  0.9377  0.8133  1 Ru 2.83, 2 Pt 2.93
Pr  0.7405  0.7405  0.1872  1 Ru 2.83, 2 Pt 2.94
Pr  0.9377  0.6158  0.8133  1 Ru 2.83, 2 Pt 2.93
Ru  0.0000  0.0000  0.0000  6 Pr 2.83
Pt  0.3333  0.6667  0.0000  6 Pr 2.93-2.94
Pt  0.6667  0.3333  0.0000  6 Pr 2.93-2.94
I  0.1659  0.8341  0.5000  6 Pr 3.52-3.62
I  0.5000  0.5000  0.5000  6 Pr 3.53-3.61
I  0.8341  0.1659  0.5000  6 Pr 3.52-3.62

---

# 12
Density functional theory data (PBE) for Tb5DyHo12 after structural relaxation.

Summary:
DFT total energy in eV per cell: -82.3
Magnetic moment in Bohr magnetons per cell: 0.00
Formation enthalpy at 0 K in eV per atom: 0.02

a b c (Å): 10.5726 10.5726 6.1074
angles (deg): 106.60 106.60 60.01
Last column: nearest neighbours and their distance in Å.
Fractional positions:
Tb  0.0000  0.0000  0.0000  10 Ho 3.52-3.53, 2 Tb 3.53
Tb  0.1666  0.1666  0.4999  10 Ho 3.52-3.53, 2 Tb 3.53-3.54
Tb  0.3334  0.3334  0.0002  10 Ho 3.52-3.53, 1 Dy 3.53, 1 Tb 3.54
Tb  0.6666  0.6666  0.9998  10 Ho 3.52-3.53, 1 Dy 3.53, 1 Tb 3.54
Tb  0.8334  0.8334  0.5001  10 Ho 3.52-3.53, 2 Tb 3.53-3.54
Dy  0.5000  0.5000  0.5000  10 Ho 3.52-3.53, 2 Tb 3.53
Ho  0.9996  0.3337  0.9999  7 Ho 3.52-3.54, 5 Tb 3.52-3.53
Ho  0.0004  0.6663  0.0001  7 Ho 3.52-3.54, 5 Tb 3.52-3.53
Ho  0.1666  0.5002  0.5002  7 Ho 3.52-3.54, 4 Tb 3.52-3.53, 1 Dy 3.52
Ho  0.1671  0.8329  0.5000  1 Dy 3.52, 7 Ho 3.52-3.53, 4 Tb 3.53
Ho  0.3333  0.6667  0.0000  7 Ho 3.52-3.53, 3 Tb 3.52, 2 Dy 3.53
Ho  0.3337  0.9996  0.9999  7 Ho 3.52-3.54, 5 Tb 3.52-3.53
Ho  0.5002  0.1666  0.5002  7 Ho 3.52-3.54, 4 Tb 3.52-3.53, 1 Dy 3.52
Ho  0.4998  0.8334  0.4998  7 Ho 3.52-3.54, 4 Tb 3.52-3.53, 1 Dy 3.52
Ho  0.6663  0.0004  0.0001  7 Ho 3.52-3.54, 5 Tb 3.52-3.53
Ho  0.6667  0.3333  0.0000  7 Ho 3.52-3.53, 3 Tb 3.52, 2 Dy 3.53
Ho  0.8329  0.1671  0.5000  1 Dy 3.52, 7 Ho 3.52-3.53, 4 Tb 3.53
Ho  0.8334  0.4998  0.4998  7 Ho 3.52-3.54, 4 Tb 3.52-3.53, 1 Dy 3.52